Record 1
# Hf3Cu

An optimized crystal structure of Hf3Cu (PBE, Alexandria).

## Properties
* energy relative to the elements: -0.0314 eV per atom
* D(E_F): 0.752 states/eV/atom
* crystal system: orthorhombic

Lattice parameters (Å, degrees): 5.7169 5.7169 5.7169 147.97 63.96 126.24
Closest atoms and distances in Å follow each position.
Fractional coordinates of all 4 atoms:
1 Hf 0.0000 0.0000 0.0000  2 Cu 2.74, 2 Hf 3.05
2 Hf 0.3571 0.5743 0.7828  2 Cu 2.73, 1 Hf 3.05
3 Hf 0.7915 0.5743 0.2172  2 Cu 2.73, 1 Hf 3.05
4 Cu 0.4325 0.9325 0.5000  6 Hf 2.73-2.74

***

Record 2
# Pr12As3H5

An optimized crystal structure of Pr12As3H5 (PBE, Alexandria).

## Properties
* D(E_F): 0.863 states/eV/atom
* crystal system: cubic
* E_tot: -0.3611 Ry per atom

Lattice parameters (Å, degrees): 13.7721 13.7721 13.7721 109.47 109.47 109.47
Closest atoms and distances in Å follow each position.
Fractional coordinates of all 80 atoms:
1 Pr 0.0253 0.2154 0.1177  1 H 2.30
2 Pr 0.0253 0.3098 0.9075  1 H 2.30
3 Pr 0.0925 0.6177 0.4023  1 H 2.30
4 Pr 0.0925 0.9747 0.6902  1 H 2.30
5 Pr 0.0977 0.7154 0.6902  1 H 2.30
6 Pr 0.0977 0.8823 0.4075  1 H 2.30
7 Pr 0.1177 0.0253 0.2154  1 H 2.30
8 Pr 0.1177 0.5925 0.9023  1 H 2.30
9 Pr 0.1902 0.2154 0.5977  1 H 2.30
10 Pr 0.1902 0.4747 0.5925  1 H 2.30
11 Pr 0.2154 0.1177 0.0253  1 H 2.30
12 Pr 0.2154 0.5977 0.1902  1 H 2.30
13 Pr 0.2846 0.3098 0.9023  1 H 2.30
14 Pr 0.2846 0.4747 0.3823  1 H 2.30
15 Pr 0.3098 0.9023 0.2846  1 H 2.30
16 Pr 0.3098 0.9075 0.0253  1 H 2.30
17 Pr 0.3823 0.2846 0.4747  1 H 2.30
18 Pr 0.3823 0.5977 0.9075  1 H 2.30
19 Pr 0.4023 0.0925 0.6177  1 H 2.30
20 Pr 0.4023 0.8098 0.7846  1 H 2.30
21 Pr 0.4075 0.0977 0.8823  1 H 2.30
22 Pr 0.4075 0.8098 0.5253  1 H 2.30
23 Pr 0.4747 0.3823 0.2846  1 H 2.30
24 Pr 0.4747 0.5925 0.1902  1 H 2.30
25 Pr 0.5253 0.4075 0.8098  1 H 2.30
26 Pr 0.5253 0.6177 0.7154  1 H 2.30
27 Pr 0.5925 0.1902 0.4747  1 H 2.30
28 Pr 0.5925 0.9023 0.1177  1 H 2.30
29 Pr 0.5977 0.1902 0.2154  1 H 2.30
30 Pr 0.5977 0.9075 0.3823  1 H 2.30
31 Pr 0.6177 0.4023 0.0925  1 H 2.30
32 Pr 0.6177 0.7154 0.5253  1 H 2.30
33 Pr 0.6902 0.0925 0.9747  1 H 2.30
34 Pr 0.6902 0.0977 0.7154  1 H 2.30
35 Pr 0.7154 0.5253 0.6177  1 H 2.30
36 Pr 0.7154 0.6902 0.0977  1 H 2.30
37 Pr 0.7846 0.4023 0.8098  1 H 2.30
38 Pr 0.7846 0.8823 0.9747  1 H 2.30
39 Pr 0.8098 0.5253 0.4075  1 H 2.30
40 Pr 0.8098 0.7846 0.4023  1 H 2.30
41 Pr 0.8823 0.4075 0.0977  1 H 2.30
42 Pr 0.8823 0.9747 0.7846  1 H 2.30
43 Pr 0.9023 0.1177 0.5925  1 H 2.30
44 Pr 0.9023 0.2846 0.3098  1 H 2.30
45 Pr 0.9075 0.0253 0.3098  1 H 2.30
46 Pr 0.9075 0.3823 0.5977  1 H 2.30
47 Pr 0.9747 0.6902 0.0925  1 H 2.30
48 Pr 0.9747 0.7846 0.8823  1 H 2.30
49 As 0.1250 0.2500 0.3750  8 Pr 3.09-3.14
50 As 0.1250 0.3750 0.7500  8 Pr 3.09-3.14
51 As 0.2500 0.3750 0.1250  8 Pr 3.09-3.14
52 As 0.2500 0.8750 0.6250  8 Pr 3.09-3.14
53 As 0.3750 0.1250 0.2500  8 Pr 3.09-3.14
54 As 0.3750 0.7500 0.1250  8 Pr 3.09-3.14
55 As 0.6250 0.2500 0.8750  8 Pr 3.09-3.14
56 As 0.6250 0.8750 0.7500  8 Pr 3.09-3.14
57 As 0.7500 0.1250 0.3750  8 Pr 3.09-3.14
58 As 0.7500 0.6250 0.8750  8 Pr 3.09-3.14
59 As 0.8750 0.6250 0.2500  8 Pr 3.09-3.14
60 As 0.8750 0.7500 0.6250  8 Pr 3.09-3.14
61 H 0.0000 0.0000 0.0000  6 Pr 2.70
62 H 0.0000 0.0000 0.5000  6 Pr 2.70
63 H 0.0000 0.5000 0.0000  6 Pr 2.70
64 H 0.0000 0.5000 0.5000  6 Pr 2.70
65 H 0.1250 0.7500 0.8750  4 Pr 2.30
66 H 0.1250 0.8750 0.2500  4 Pr 2.30
67 H 0.2500 0.1250 0.8750  4 Pr 2.30
68 H 0.2500 0.6250 0.3750  4 Pr 2.30
69 H 0.3750 0.2500 0.6250  4 Pr 2.30
70 H 0.3750 0.6250 0.7500  4 Pr 2.30
71 H 0.5000 0.0000 0.0000  6 Pr 2.70
72 H 0.5000 0.0000 0.5000  6 Pr 2.70
73 H 0.5000 0.5000 0.0000  6 Pr 2.70
74 H 0.5000 0.5000 0.5000  6 Pr 2.70
75 H 0.6250 0.3750 0.2500  4 Pr 2.30
76 H 0.6250 0.7500 0.3750  4 Pr 2.30
77 H 0.7500 0.3750 0.6250  4 Pr 2.30
78 H 0.7500 0.8750 0.1250  4 Pr 2.30
79 H 0.8750 0.1250 0.7500  4 Pr 2.30
80 H 0.8750 0.2500 0.1250  4 Pr 2.30

***

Record 3
# LiMgSb2I

An optimized crystal structure of LiMgSb2I (PBE, Alexandria).

## Properties
* formation energy from raw total energies: 13 kJ per mole of atoms
* D(E_F): 0.867 states/eV/atom
* energy above the most stable polymorph in this dataset: 0.000 eV/atom
* crystal system: tetragonal

Lattice parameters (Å, degrees): 5.3944 5.3944 6.1216 90.00 90.00 90.00
Closest atoms and distances in Å follow each position.
Fractional coordinates of all 5 atoms:
1 Li 0.0000 0.0000 0.0000  4 I 3.81, 8 Sb 4.08
2 Mg 0.5000 0.5000 0.5000  4 Sb 2.70
3 Sb 0.0000 0.5000 0.5000  2 Mg 2.70
4 Sb 0.5000 0.0000 0.5000  2 Mg 2.70
5 I 0.5000 0.5000 0.0000  2 Mg 3.06

***

Record 4
# HfBi3O6

An optimized crystal structure of HfBi3O6 (PBE, Alexandria).

## Properties
* formation energy from raw total energies: -167 kJ per mole of atoms
* D(E_F): 0.198 states/eV/atom
* energy above the most stable polymorph in this dataset: 0.000 eV/atom
* crystal system: trigonal

Lattice parameters (Å, degrees): 6.9512 6.9512 6.9512 93.04 93.04 93.04
Closest atoms and distances in Å follow each position.
Fractional coordinates of all 20 atoms:
1 Hf 0.0000 0.0000 0.0000  6 O 2.11
2 Hf 0.5000 0.5000 0.5000  6 O 2.10
3 Bi 0.0043 0.7522 0.5413  3 O 2.25-2.28
4 Bi 0.2478 0.4587 0.9957  3 O 2.25-2.28
5 Bi 0.4587 0.9957 0.2478  3 O 2.25-2.28
6 Bi 0.5413 0.0043 0.7522  3 O 2.25-2.28
7 Bi 0.7522 0.5413 0.0043  3 O 2.25-2.28
8 Bi 0.9957 0.2478 0.4587  3 O 2.25-2.28
9 O 0.0605 0.7329 0.8636  1 Hf 2.11, 1 Bi 2.27
10 O 0.1364 0.9395 0.2671  1 Hf 2.11, 1 Bi 2.27
11 O 0.1998 0.5162 0.4608  1 Hf 2.10, 2 Bi 2.25-2.28
12 O 0.2671 0.1364 0.9395  1 Hf 2.11, 1 Bi 2.27
13 O 0.4608 0.1998 0.5162  1 Hf 2.10, 2 Bi 2.25-2.28
14 O 0.4838 0.5392 0.8002  1 Hf 2.10, 2 Bi 2.25-2.28
15 O 0.5162 0.4608 0.1998  1 Hf 2.10, 2 Bi 2.25-2.28
16 O 0.5392 0.8002 0.4838  1 Hf 2.10, 2 Bi 2.25-2.28
17 O 0.7329 0.8636 0.0605  1 Hf 2.11, 1 Bi 2.27
18 O 0.8002 0.4838 0.5392  1 Hf 2.10, 2 Bi 2.25-2.28
19 O 0.8636 0.0605 0.7329  1 Hf 2.11, 1 Bi 2.27
20 O 0.9395 0.2671 0.1364  1 Hf 2.11, 1 Bi 2.27

***

Record 5
# SiAsC2

An optimized crystal structure of SiAsC2 (PBE, Alexandria).

## Properties
* formation energy from raw total energies: 210 kJ per mole of atoms
* D(E_F): 0.578 states/eV/atom
* energy above the most stable polymorph in this dataset: 1.622 eV/atom
* crystal system: cubic

Lattice parameters (Å, degrees): 3.9224 3.9224 3.9224 60.00 60.00 60.00
Closest atoms and distances in Å follow each position.
Fractional coordinates of all 4 atoms:
1 Si 0.0000 0.0000 0.0000  8 C 2.40
2 As 0.5000 0.5000 0.5000  8 C 2.40
3 C 0.2500 0.2500 0.2500  4 As 2.40, 4 Si 2.40
4 C 0.7500 0.7500 0.7500  4 As 2.40, 4 Si 2.40

***

Record 6
# CsSiTeHSe

An optimized crystal structure of CsSiTeHSe (PBE, Alexandria).

## Properties
* energy above the most stable polymorph in this dataset: 0.236 eV/atom
* crystal system: triclinic

Lattice parameters (Å, degrees): 5.3431 5.8682 6.2966 93.11 105.14 112.51
Closest atoms and distances in Å follow each position.
Fractional coordinates of all 5 atoms:
1 Cs 0.0000 0.0000 0.0000  1 H 3.01
2 Si 0.7770 0.4346 0.3508  1 H 1.54
3 Te 0.4439 0.3620 0.6073  1 Se 2.64, 1 Si 2.64
4 H 0.6954 0.6465 0.2701  1 Si 1.54
5 Se 0.2510 0.7144 0.5722  1 Si 2.40, 1 Te 2.64

***

Record 7
# KBaCa2O

An optimized crystal structure of KBaCa2O (PBE, Alexandria).

## Properties
* formation energy from raw total energies: -10 kJ per mole of atoms
* D(E_F): 1.088 states/eV/atom
* crystal system: tetragonal

Lattice parameters (Å, degrees): 7.8373 7.8373 4.6551 90.00 90.00 90.00
Closest atoms and distances in Å follow each position.
Fractional coordinates of all 5 atoms:
1 K 0.0000 0.0000 0.0000  8 Ca 4.56, 2 K 4.66
2 Ba 0.5000 0.5000 0.5000  2 O 2.33
3 Ca 0.0000 0.5000 0.5000  2 Ba 3.92
4 Ca 0.5000 0.0000 0.5000  2 Ba 3.92
5 O 0.5000 0.5000 0.0000  2 Ba 2.33

***

Record 8
# Na3SiS3

An optimized crystal structure of Na3SiS3 (PBE, Alexandria).

## Properties
* formation energy from raw total energies: -75 kJ per mole of atoms
* D(E_F): 0.254 states/eV/atom
* energy above the most stable polymorph in this dataset: 0.155 eV/atom
* crystal system: orthorhombic

Lattice parameters (Å, degrees): 8.7053 8.7053 5.6691 90.00 90.00 119.91
Closest atoms and distances in Å follow each position.
Fractional coordinates of all 14 atoms:
1 Na 0.1861 0.8139 0.7500  4 S 2.84-2.87
2 Na 0.1867 0.3729 0.7500  4 S 2.84-2.87
3 Na 0.3729 0.1867 0.2500  4 S 2.84-2.87
4 Na 0.6271 0.8133 0.7500  4 S 2.84-2.87
5 Na 0.8133 0.6271 0.2500  4 S 2.84-2.87
6 Na 0.8139 0.1861 0.2500  4 S 2.84-2.87
7 Si 0.3331 0.6669 0.2500  3 S 2.10
8 Si 0.6669 0.3331 0.7500  3 S 2.10
9 S 0.1942 0.3882 0.2500  1 Si 2.10
10 S 0.1936 0.8064 0.2500  1 Si 2.10
11 S 0.3882 0.1942 0.7500  1 Si 2.10
12 S 0.6118 0.8058 0.2500  1 Si 2.10
13 S 0.8064 0.1936 0.7500  1 Si 2.10
14 S 0.8058 0.6118 0.7500  1 Si 2.10

***

Record 9
# Ti2Pb3O7

An optimized crystal structure of Ti2Pb3O7 (PBE, Alexandria).

## Properties
* formation energy from raw total energies: -198 kJ per mole of atoms
* D(E_F): 0.000 states/eV/atom
* crystal system: tetragonal

Lattice parameters (Å, degrees): 10.8302 10.8302 10.8302 158.93 158.93 29.97
Closest atoms and distances in Å follow each position.
Fractional coordinates of all 12 atoms:
1 Ti 0.0967 0.0967 0.0000  6 O 1.97-2.02
2 Ti 0.9033 0.9033 0.0000  6 O 1.97-2.02
3 Pb 0.3143 0.3143 0.0000  9 O 2.59-2.80
4 Pb 0.5000 0.5000 0.0000  12 O 2.80-2.82
5 Pb 0.6857 0.6857 0.0000  9 O 2.59-2.80
6 O 0.0000 0.0000 0.0000  2 Ti 2.02
7 O 0.0958 0.5958 0.5000  2 Ti 1.98
8 O 0.1907 0.1907 0.0000  1 Ti 1.97
9 O 0.4042 0.9042 0.5000  2 Ti 1.98
10 O 0.5958 0.0958 0.5000  2 Ti 1.98
11 O 0.8093 0.8093 0.0000  1 Ti 1.97
12 O 0.9042 0.4042 0.5000  2 Ti 1.98

***

Question: Which formula does entry 5 have?
Answer: SiAsC2